Record 1
Here is a geometry-optimized PuMgSb structure from Alexandria via LeMat-Bulk. Energies are from PBE-GGA. Values from VASP.

Geometry as Quantum ESPRESSO input:
```
&SYSTEM
  ibrav = 0, nat = 18, ntyp = 3
/
ATOMIC_SPECIES
Pu 244.00 Pu.upf
Mg 24.30 Mg.upf
Sb 121.76 Sb.upf
ATOMIC_POSITIONS crystal
Pu 0.022 0.250 0.219
Pu 0.367 0.750 0.581
Pu 0.471 0.750 0.893
Pu 0.529 0.250 0.107
Pu 0.633 0.250 0.419
Pu 0.978 0.750 0.781
Mg 0.014 0.250 0.591
Mg 0.141 0.250 0.957
Mg 0.362 0.750 0.296
Mg 0.638 0.250 0.704
Mg 0.859 0.750 0.043
Mg 0.986 0.750 0.409
Sb 0.228 0.750 0.091
Sb 0.234 0.250 0.419
Sb 0.275 0.250 0.753
Sb 0.725 0.750 0.247
Sb 0.766 0.750 0.581
Sb 0.772 0.250 0.909
CELL_PARAMETERS angstrom
7.944 0.000 0.000
0.000 4.354 0.000
-0.118 0.000 13.560
```

Summary:
As for the energy relative to the elements, uncorrected: -0.35 eV per atom. The value obtained for the relative energy among the computed polymorphs is 0.0185 eV per atom.

---

Record 2
Here is a geometry-optimized NbBi2SF structure from Alexandria via LeMat-Bulk. Energies are from PBE-GGA. Values from VASP.

Geometry as Quantum ESPRESSO input:
```
&SYSTEM
  ibrav = 0, nat = 5, ntyp = 4
/
ATOMIC_SPECIES
Nb 92.91 Nb.upf
Bi 208.98 Bi.upf
S 32.06 S.upf
F 19.00 F.upf
ATOMIC_POSITIONS crystal
Nb 0.000 0.000 0.000
Bi 0.000 0.500 0.500
Bi 0.500 0.000 0.500
S 0.500 0.500 0.000
F 0.000 0.000 0.500
CELL_PARAMETERS angstrom
5.347 0.000 0.000
0.000 5.347 0.000
0.000 0.000 4.072
```

Summary:
As for the energy relative to the elements, uncorrected: 0.14 eV per atom.

---

Record 3
Here is a geometry-optimized Li2PaAsN2 structure from Alexandria via LeMat-Bulk. Energies are from PBE-GGA. Values from VASP.

Geometry as Quantum ESPRESSO input:
```
&SYSTEM
  ibrav = 0, nat = 12, ntyp = 4
/
ATOMIC_SPECIES
Li 6.94 Li.upf
Pa 231.04 Pa.upf
As 74.92 As.upf
N 14.01 N.upf
ATOMIC_POSITIONS crystal
Li 0.075 0.250 0.141
Li 0.402 0.750 0.106
Li 0.598 0.250 0.894
Li 0.925 0.750 0.859
Pa 0.292 0.750 0.525
Pa 0.708 0.250 0.475
As 0.158 0.250 0.771
As 0.842 0.750 0.229
N 0.364 0.086 0.312
N 0.364 0.414 0.312
N 0.636 0.586 0.688
N 0.636 0.914 0.688
CELL_PARAMETERS angstrom
6.569 0.000 0.000
0.000 4.349 0.000
-1.798 0.000 6.613
```

Summary:
As for the energy relative to the elements, uncorrected: -0.79 eV per atom.

---

Record 4
Here is a geometry-optimized KHF2 structure from Alexandria via LeMat-Bulk. Energies are from PBE-GGA. Values from VASP.

Geometry as Quantum ESPRESSO input:
```
&SYSTEM
  ibrav = 0, nat = 8, ntyp = 3
/
ATOMIC_SPECIES
K 39.10 K.upf
H 1.01 H.upf
F 19.00 F.upf
ATOMIC_POSITIONS crystal
K 0.250 0.250 0.000
K 0.750 0.750 0.000
H 0.000 0.500 0.500
H 0.500 0.000 0.500
F 0.143 0.643 0.785
F 0.357 0.143 0.500
F 0.643 0.857 0.500
F 0.857 0.357 0.215
CELL_PARAMETERS angstrom
-2.854 2.854 3.466
2.854 -2.854 3.466
2.854 2.854 -3.466
```

Summary:
The calculation puts the total energy at -4.350 eV/atom.